# 1
A plane-wave DFT calculation with GGA-PBE was carried out for MnAsBr2 after structural relaxation.

Properties
The value obtained for the density of states at the Fermi level is 3.19 states/eV/cell. The value obtained for the total energy is -3.8144 eV/atom.

Cell: 4.992 4.992 3.557 Å, 90.00 90.00 89.78°
Each line ends with the local moment (μB).
Fractional coordinates of all 4 atoms:
As1 0.000 0.500 0.500  -0.01
Br1 0.000 0.000 0.000  0.03
Br2 0.500 0.500 0.000  0.03
Mn1 0.500 0.000 0.500  4.24

# 2
A plane-wave DFT calculation with GGA-PBE was carried out for Li3PrBr6 after structural relaxation.

Properties
The value obtained for the density of states at the Fermi level is 0.00 states/eV/cell. The value obtained for the total energy is -3.6506 eV/atom.

Cell: 7.919 7.968 7.970 Å, 61.43 61.27 61.26°
Fractional coordinates of all 10 atoms:
Li1 0.500 0.500 0.000
Li2 0.500 0.000 0.500
Li3 0.500 0.500 0.500
Pr1 0.000 0.000 0.000
Br1 0.720 0.770 0.278
Br2 0.280 0.230 0.722
Br3 0.723 0.281 0.767
Br4 0.277 0.719 0.233
Br5 0.270 0.742 0.742
Br6 0.730 0.258 0.258

# 3
A plane-wave DFT calculation with GGA-PBE was carried out for ZnRh3Br after structural relaxation.

Properties
The value obtained for the density of states at the Fermi level is 10.37 states/eV/cell. The value obtained for the total energy is -3.8492 eV/atom.

Cell: 4.661 4.661 4.661 Å, 90.00 90.00 90.00°
Each line ends with the local moment (μB).
Fractional coordinates of all 5 atoms:
Zn1 0.000 0.000 0.000  -0.02
Rh1 0.000 0.500 0.000  1.33
Rh2 0.000 0.000 0.500  1.17
Rh3 0.500 0.000 0.000  0.90
Br1 0.500 0.500 0.500  0.22

# 4
A plane-wave DFT calculation with GGA-PBE was carried out for Ag2HgSbOs after structural relaxation.

Properties
The value obtained for the density of states at the Fermi level is 3.38 states/eV/cell. The value obtained for the total energy is -3.4270 eV/atom.

Cell: 5.264 4.938 5.264 Å, 90.00 90.00 90.00°
Each line ends with the local moment (μB).
Fractional coordinates of all 5 atoms:
Sb1 0.000 0.500 0.000  -0.02
Os1 0.000 0.000 0.000  0.71
Hg1 0.500 0.500 0.500  0.01
Ag1 0.000 0.000 0.500  0.09
Ag2 0.500 0.000 0.000  0.04

# 5
A plane-wave DFT calculation with GGA-PBE was carried out for LaDy2Pa after structural relaxation.

Properties
The value obtained for the density of states at the Fermi level is 5.62 states/eV/cell. Its formation enthalpy at 0 K is 0.176 eV per atom.

Cell: 3.413 3.413 12.374 Å, 82.07 82.07 60.00°
Fractional coordinates of all 4 atoms:
Pa1 0.500 0.500 0.500
La1 0.000 0.000 0.000
Dy1 0.093 0.093 0.720
Dy2 0.907 0.907 0.280

# 6
A plane-wave DFT calculation with GGA-PBE was carried out for ZnCrMoRu after structural relaxation.

Properties
The value obtained for the density of states at the Fermi level is 2.21 states/eV/cell. Its formation enthalpy at 0 K is 0.080 eV per atom.

Cell: 4.310 4.310 4.310 Å, 60.00 60.00 60.00°
Each line ends with the local moment (μB).
Fractional coordinates of all 4 atoms:
Ru1 0.750 0.750 0.750  0.19
Mo1 0.500 0.500 0.500  -0.55
Zn1 0.000 0.000 0.000  0.01
Cr1 0.250 0.250 0.250  2.18

# 7
A plane-wave DFT calculation with GGA-PBE was carried out for NpPa2FeN4 after structural relaxation.

Properties
The value obtained for the density of states at the Fermi level is 19.75 states/eV/cell. The value obtained for the total energy is -10.3830 eV/atom.

Cell: 3.399 5.956 11.383 Å, 90.00 90.00 106.58°
Each line ends with the local moment (μB).
Fractional coordinates of all 16 atoms:
Np1 0.109 0.218 0.750  3.47
Np2 0.891 0.782 0.250  3.47
Pa1 0.368 0.735 0.561  0.20
Pa2 0.632 0.265 0.061  0.20
Pa3 0.632 0.265 0.439  0.20
Pa4 0.368 0.735 0.939  0.20
Fe1 0.844 0.688 0.750  -1.32
Fe2 0.156 0.312 0.250  -1.32
N1 0.275 0.551 0.123  -0.07
N2 0.725 0.449 0.623  -0.07
N3 0.725 0.449 0.877  -0.07
N4 0.275 0.551 0.377  -0.07
N5 0.000 0.000 0.500  -0.04
N6 0.000 0.000 0.000  -0.04
N7 0.455 0.910 0.750  -0.07
N8 0.545 0.090 0.250  -0.07

# 8
A plane-wave DFT calculation with GGA-PBE was carried out for Pm6Dy7 after structural relaxation.

Properties
The value obtained for the density of states at the Fermi level is 30.14 states/eV/cell. Its formation enthalpy at 0 K is 0.261 eV per atom.

Cell: 6.628 6.628 12.306 Å, 74.38 74.38 60.00°
Each line ends with the local moment (μB).
Fractional coordinates of all 13 atoms:
Pm1 0.834 0.834 0.499  0.30
Pm2 0.166 0.166 0.501  0.30
Pm3 0.650 0.650 0.049  0.38
Pm4 0.350 0.350 0.951  0.38
Pm5 0.547 0.547 0.358  0.35
Pm6 0.453 0.453 0.642  0.35
Dy1 0.000 0.000 0.000  0.40
Dy2 0.912 0.416 0.760  0.22
Dy3 0.416 0.912 0.760  0.22
Dy4 0.912 0.912 0.760  0.22
Dy5 0.088 0.088 0.240  0.22
Dy6 0.088 0.584 0.240  0.22
Dy7 0.584 0.088 0.240  0.22

# 9
A plane-wave DFT calculation with GGA-PBE was carried out for NaAu3I after structural relaxation.

Properties
The value obtained for the density of states at the Fermi level is 3.92 states/eV/cell. The value obtained for the total energy is -2.0580 eV/atom.

Cell: 5.537 5.537 5.537 Å, 90.00 90.00 90.00°
Fractional coordinates of all 5 atoms:
I1 0.000 0.000 0.000
Na1 0.500 0.500 0.500
Au1 0.000 0.500 0.000
Au2 0.000 0.000 0.500
Au3 0.500 0.000 0.000

# 10
A plane-wave DFT calculation with GGA-PBE was carried out for Zr2TaSb after structural relaxation.

Properties
The value obtained for the density of states at the Fermi level is 2.75 states/eV/cell. The value obtained for the total energy is -8.4887 eV/atom.

Cell: 3.662 3.662 6.324 Å, 90.00 90.00 90.00°
Fractional coordinates of all 4 atoms:
Sb1 0.000 0.000 0.507
Ta1 0.500 0.500 0.742
Zr1 0.000 0.000 0.992
Zr2 0.500 0.500 0.259

# 11
A plane-wave DFT calculation with GGA-PBE was carried out for TiTl2ReO6 after structural relaxation.

Properties
The value obtained for the density of states at the Fermi level is 4.70 states/eV/cell. The value obtained for the total energy is -7.1423 eV/atom.

Cell: 5.900 5.900 9.981 Å, 72.81 72.81 60.00°
Each line ends with the local moment (μB).
Fractional coordinates of all 20 atoms:
Ti1 0.600 0.600 0.200  0.15
Ti2 0.400 0.400 0.800  0.15
Tl1 0.869 0.869 0.394  0.00
Tl2 0.131 0.131 0.606  0.00
Tl3 0.723 0.723 0.832  0.01
Tl4 0.277 0.277 0.168  0.01
Re1 0.000 0.000 0.000  0.68
Re2 0.500 0.500 0.500  0.04
O1 0.832 0.398 0.372  0.00
O2 0.398 0.832 0.372  0.00
O3 0.398 0.398 0.372  0.00
O4 0.168 0.602 0.628  0.00
O5 0.602 0.168 0.628  0.00
O6 0.602 0.602 0.628  0.00
O7 0.713 0.201 0.886  0.01
O8 0.201 0.713 0.886  0.01
O9 0.201 0.201 0.886  0.01
O10 0.287 0.799 0.114  0.01
O11 0.799 0.287 0.114  0.01
O12 0.799 0.799 0.114  0.01

# 12
A plane-wave DFT calculation with GGA-PBE was carried out for YMo2 after structural relaxation.

Properties
The value obtained for the density of states at the Fermi level is 8.27 states/eV/cell. Its formation enthalpy at 0 K is 0.290 eV per atom.

Cell: 5.483 5.483 7.598 Å, 69.29 69.29 34.19°
Fractional coordinates of all 6 atoms:
Y1 0.159 0.159 0.396
Y2 0.841 0.841 0.604
Mo1 0.501 0.501 0.803
Mo2 0.839 0.839 0.054
Mo3 0.161 0.161 0.946
Mo4 0.499 0.499 0.197

What is the formula in the fourth record?
Ag2HgSbOs